Entry 1:
The following is a PBE calculation of a relaxed MnZn2Sb crystal, from the Alexandria database.

Formation energy (no corrections) = 0.22 eV per atom

The structure in CIF format:
```
data_MnZn2Sb
_symmetry_space_group_name_H-M 'P 4/m m m'
_symmetry_Int_Tables_number 123
_symmetry_space_group_name_Hall '-P 4 2'
_cell_length_a 2.986
_cell_length_b 2.986
_cell_length_c 8.185
_cell_angle_alpha 90.00
_cell_angle_beta 90.00
_cell_angle_gamma 90.00
loop_
_atom_site_label
_atom_site_type_symbol
_atom_site_fract_x
_atom_site_fract_y
_atom_site_fract_z
_atom_site_occupancy
Mn1 Mn 0.000 0.000 0.000 1
Zn1 Zn 0.500 0.500 0.196 1
Sb1 Sb 0.000 0.000 0.500 1
```

=====

Entry 2:
The following is a PBE calculation of a relaxed MnZn2Sb crystal, from the Alexandria database.

Formation energy (no corrections) = 0.30 eV per atom

The structure in CIF format:
```
data_MnZn2Sb
_symmetry_space_group_name_H-M 'I -4 2 d'
_symmetry_Int_Tables_number 122
_symmetry_space_group_name_Hall 'I -4 2bw'
_cell_length_a 7.656
_cell_length_b 7.656
_cell_length_c 5.312
_cell_angle_alpha 90.00
_cell_angle_beta 90.00
_cell_angle_gamma 90.00
loop_
_atom_site_label
_atom_site_type_symbol
_atom_site_fract_x
_atom_site_fract_y
_atom_site_fract_z
_atom_site_occupancy
Mn1 Mn 0.000 0.000 0.000 1
Zn1 Zn 0.239 0.750 0.125 1
Sb1 Sb 0.000 0.000 0.500 1
```

=====

Entry 3:
The following is a PBE calculation of a relaxed MnZn2Sb crystal, from the Alexandria database.

Formation energy (no corrections) = 0.17 eV per atom

The structure in CIF format:
```
data_MnZn2Sb
_symmetry_space_group_name_H-M 'I 4/m m m'
_symmetry_Int_Tables_number 139
_symmetry_space_group_name_Hall '-I 4 2'
_cell_length_a 3.912
_cell_length_b 3.912
_cell_length_c 9.003
_cell_angle_alpha 90.00
_cell_angle_beta 90.00
_cell_angle_gamma 90.00
loop_
_atom_site_label
_atom_site_type_symbol
_atom_site_fract_x
_atom_site_fract_y
_atom_site_fract_z
_atom_site_occupancy
Mn1 Mn 0.000 0.000 0.000 1
Zn1 Zn 0.000 0.500 0.250 1
Sb1 Sb 0.000 0.000 0.500 1
```

=====

Entry 4:
The following is a PBE calculation of a relaxed MnZn2Sb crystal, from the Alexandria database.

Formation energy (no corrections) = 0.30 eV per atom

The structure in CIF format:
```
data_MnZn2Sb
_symmetry_space_group_name_H-M 'R -3 m'
_symmetry_Int_Tables_number 166
_symmetry_space_group_name_Hall '-R 3 2"'
_cell_length_a 3.2053
_cell_length_b 3.2053
_cell_length_c 25.5300
_cell_angle_alpha 90.00
_cell_angle_beta 90.00
_cell_angle_gamma 120.00
loop_
_atom_site_label
_atom_site_type_symbol
_atom_site_fract_x
_atom_site_fract_y
_atom_site_fract_z
_atom_site_occupancy
Mn1 Mn 0.0000 0.0000 0.0000 1
Zn1 Zn 0.0000 0.0000 0.2582 1
Sb1 Sb 0.0000 0.0000 0.5000 1
```

=====

Entry 5:
The following is a PBE calculation of a relaxed Zr2MnZnSb crystal, from the Alexandria database.

Formation energy (no corrections) = 0.35 eV per atom

The structure in CIF format:
```
data_Zr2MnZnSb
_symmetry_space_group_name_H-M 'P 4/m m m'
_symmetry_Int_Tables_number 123
_symmetry_space_group_name_Hall '-P 4 2'
_cell_length_a 4.999
_cell_length_b 4.999
_cell_length_c 4.561
_cell_angle_alpha 90.00
_cell_angle_beta 90.00
_cell_angle_gamma 90.00
loop_
_atom_site_label
_atom_site_type_symbol
_atom_site_fract_x
_atom_site_fract_y
_atom_site_fract_z
_atom_site_occupancy
Zr1 Zr 0.000 0.500 0.000 1
Mn1 Mn 0.000 0.000 0.500 1
Zn1 Zn 0.000 0.000 0.000 1
Sb1 Sb 0.500 0.500 0.500 1
```

=====

Entry 6:
The following is a PBE calculation of a relaxed ZrMn2Sb crystal, from the Alexandria database.

Formation energy (no corrections) = 0.12 eV per atom

The structure in CIF format:
```
data_ZrMn2Sb
_symmetry_space_group_name_H-M 'P 1 2/m 1'
_symmetry_Int_Tables_number 10
_symmetry_space_group_name_Hall '-P 2y'
_cell_length_a 3.083
_cell_length_b 4.600
_cell_length_c 5.245
_cell_angle_alpha 90.00
_cell_angle_beta 94.52
_cell_angle_gamma 90.00
loop_
_atom_site_label
_atom_site_type_symbol
_atom_site_fract_x
_atom_site_fract_y
_atom_site_fract_z
_atom_site_occupancy
Zr1 Zr 0.000 0.000 0.000 1
Mn1 Mn 0.302 0.500 0.761 1
Sb1 Sb 0.500 0.000 0.500 1
```

=====

Entry 7:
The following is a PBE calculation of a relaxed Zr2MnSb crystal, from the Alexandria database.

Formation energy (no corrections) = 0.09 eV per atom

The structure in CIF format:
```
data_Zr2MnSb
_symmetry_space_group_name_H-M 'R 3 m'
_symmetry_Int_Tables_number 160
_symmetry_space_group_name_Hall 'R 3 -2"'
_cell_length_a 3.2623
_cell_length_b 3.2623
_cell_length_c 27.8972
_cell_angle_alpha 90.00
_cell_angle_beta 90.00
_cell_angle_gamma 120.00
loop_
_atom_site_label
_atom_site_type_symbol
_atom_site_fract_x
_atom_site_fract_y
_atom_site_fract_z
_atom_site_occupancy
Zr1 Zr 0.0000 0.0000 0.0000 1
Zr2 Zr 0.0000 0.0000 0.2416 1
Mn1 Mn 0.0000 0.0000 0.4972 1
Sb1 Sb 0.0000 0.0000 0.7547 1
```

=====

Entry 8:
The following is a PBE calculation of a relaxed ZrMn2Sb crystal, from the Alexandria database.

Formation energy (no corrections) = -0.10 eV per atom

The structure in CIF format:
```
data_ZrMn2Sb
_symmetry_space_group_name_H-M 'P 4/m m m'
_symmetry_Int_Tables_number 123
_symmetry_space_group_name_Hall '-P 4 2'
_cell_length_a 4.274
_cell_length_b 4.274
_cell_length_c 3.816
_cell_angle_alpha 90.00
_cell_angle_beta 90.00
_cell_angle_gamma 90.00
loop_
_atom_site_label
_atom_site_type_symbol
_atom_site_fract_x
_atom_site_fract_y
_atom_site_fract_z
_atom_site_occupancy
Zr1 Zr 0.000 0.000 0.000 1
Mn1 Mn 0.000 0.500 0.500 1
Sb1 Sb 0.500 0.500 0.000 1
```

=====

What is the formula in the seventh record? Zr2MnSb